[1]
# TlHgTeN2

Crystalline TlHgTeN2 at its relaxed geometry (PBE, Alexandria).

Properties
As for the space group: No. 123. The density of states at the Fermi level is 0.510 states/eV/atom. For the energy above the most stable polymorph in this dataset, the calculation gives 0.000 eV per atom. As for the theoretical density: 7.372 g/cm³. As for the formation energy (no corrections): 157.94 kJ per mole of atoms. The calculation puts the total magnetization at 3.42 μB/cell.

Cell: 4.415 4.415 6.479 Å, 90.00 90.00 90.00°
Fractional positions:
Tl: 0.000 0.000 0.000
Hg: 0.500 0.500 0.500
Te: 0.000 0.000 0.500
N: 0.000 0.500 0.000
N: 0.500 0.000 0.000

***

[2]
# Na2YSO6

Crystalline Na2YSO6 at its relaxed geometry (PBE, Alexandria).

Properties
As for the space group: No. 164. The density of states at the Fermi level is 0.098 states/eV/atom. As for the theoretical density: 2.702 g/cm³. As for the formation energy (no corrections): -153.03 kJ per mole of atoms. The calculation puts the total magnetization at 1.04 μB/cell.

Cell: 5.759 5.759 5.625 Å, 90.00 90.00 120.00°
Fractional positions:
Na: 0.333 0.667 0.040
Na: 0.667 0.333 0.960
Y: 0.000 0.000 0.500
S: 0.000 0.000 0.000
O: 0.137 0.275 0.824
O: 0.137 0.863 0.824
O: 0.275 0.137 0.176
O: 0.725 0.863 0.824
O: 0.863 0.137 0.176
O: 0.863 0.725 0.176

***

[3]
# Ce3Tl3TcS8

Crystalline Ce3Tl3TcS8 at its relaxed geometry (PBE, Alexandria).

Properties
As for the space group: No. 166. The density of states at the Fermi level is 1.351 states/eV/atom. As for the theoretical density: 5.585 g/cm³. As for the formation energy (no corrections): -110.82 kJ per mole of atoms. The calculation puts the total magnetization at 2.71 μB/cell.

Cell: 8.942 8.942 8.942 Å, 52.18 52.18 52.18°
Fractional positions:
Ce: 0.000 0.500 0.500
Ce: 0.500 0.000 0.500
Ce: 0.500 0.500 0.000
Tl: 0.000 0.000 0.500
Tl: 0.000 0.500 0.000
Tl: 0.500 0.000 0.000
Tc: 0.000 0.000 0.000
S: 0.213 0.213 0.762
S: 0.213 0.762 0.213
S: 0.238 0.787 0.787
S: 0.264 0.264 0.264
S: 0.736 0.736 0.736
S: 0.762 0.213 0.213
S: 0.787 0.238 0.787
S: 0.787 0.787 0.238

***

[4]
# YAs

Crystalline YAs at its relaxed geometry (PBE, Alexandria).

Properties
As for the space group: No. 141. The density of states at the Fermi level is 0.361 states/eV/atom. As for the theoretical density: 5.736 g/cm³. The value obtained for the formation energy is -2.14 eV per formula unit. The calculation puts the total magnetization at 0.00 μB/cell.

Cell: 6.350 6.350 6.350 Å, 142.35 142.35 54.30°
Fractional positions:
Y: 0.375 0.625 0.750
Y: 0.625 0.375 0.250
As: 0.125 0.875 0.250
As: 0.875 0.125 0.750

***

[5]
# PtRh2Br

Crystalline PtRh2Br at its relaxed geometry (PBE, Alexandria).

Properties
As for the space group: No. 44. The density of states at the Fermi level is 1.180 states/eV/atom. For the energy above the most stable polymorph in this dataset, the calculation gives 0.223 eV per atom. As for the theoretical density: 12.267 g/cm³. As for the formation energy (no corrections): 50.33 kJ per mole of atoms. The calculation puts the total magnetization at 0.00 μB/cell.

Cell: 5.584 5.584 5.584 Å, 150.55 130.00 59.10°
Fractional positions:
Pt: 0.000 0.000 0.000
Rh: 0.515 0.515 0.000
Rh: 0.749 0.249 0.500
Br: 0.276 0.776 0.500

***

[6]
# La3TbPb2

Crystalline La3TbPb2 at its relaxed geometry (PBE, Alexandria).

Properties
As for the space group: No. 115. The density of states at the Fermi level is 1.480 states/eV/atom. For the energy above the most stable polymorph in this dataset, the calculation gives 0.000 eV per atom. As for the theoretical density: 8.054 g/cm³. The value obtained for the formation energy is -2.76 eV per formula unit. The calculation puts the total magnetization at 0.00 μB/cell.

Cell: 4.770 4.770 8.971 Å, 90.00 90.00 90.00°
Fractional positions:
La: 0.000 0.000 0.000
La: 0.000 0.500 0.652
La: 0.500 0.000 0.348
Tb: 0.500 0.500 0.000
Pb: 0.000 0.500 0.277
Pb: 0.500 0.000 0.723

***

Look up the theoretical density of the second one.
2.702 g/cm³

***

Copy entry 5 word for word.
# PtRh2Br

Crystalline PtRh2Br at its relaxed geometry (PBE, Alexandria).

Properties
As for the space group: No. 44. The density of states at the Fermi level is 1.180 states/eV/atom. For the energy above the most stable polymorph in this dataset, the calculation gives 0.223 eV per atom. As for the theoretical density: 12.267 g/cm³. As for the formation energy (no corrections): 50.33 kJ per mole of atoms. The calculation puts the total magnetization at 0.00 μB/cell.

Cell: 5.584 5.584 5.584 Å, 150.55 130.00 59.10°
Fractional positions:
Pt: 0.000 0.000 0.000
Rh: 0.515 0.515 0.000
Rh: 0.749 0.249 0.500
Br: 0.276 0.776 0.500